An optimized crystal structure of Cd3BiAu, computed with PBE.

Structure (POSCAR):
```
Cd3BiAu
1.0
-4.4918 0.9657 -1.6169
-2.2744 -2.8857 4.5947
0.7869 7.3379 4.9981
Cd Bi Au
6 2 2
direct
0.7740 0.5006 0.6244
0.8615 0.7500 0.0411
0.2260 0.4994 0.3756
0.2260 0.0006 0.3756
0.7740 0.9994 0.6244
0.1385 0.2500 0.9589
0.3159 0.7500 0.8259
0.6841 0.2500 0.1741
0.2812 0.2500 0.6590
0.7188 0.7500 0.3410
```

Computed properties:
Polymorph energy (0 for the lowest one) (kJ per mole of atoms): 0.0
Calculated volume (A^3/atom): 25.401
SG: P2_1/m, No. 11
Total energy (eV/atom): -2.0298
Calculated density (Mg/m³): 9.72
ΔH_f (0 K) (kJ/mol of atoms): -4.73